Record 1
VASP calculation (PBE-GGA) on an optimized crystal structure of TmHf2Zr6.

Lattice parameters (Å, degrees): 8.6511 8.6511 6.0658 99.55 99.55 100.92
Element x y z (fractional)
1 Tm 0.0968 0.9032 0.7500
2 Tm 0.9032 0.0968 0.2500
3 Hf 0.3440 0.3711 0.6343
4 Hf 0.3711 0.3440 0.1343
5 Hf 0.6289 0.6560 0.8657
6 Hf 0.6560 0.6289 0.3657
7 Zr 0.0401 0.2581 0.8226
8 Zr 0.0791 0.4559 0.3042
9 Zr 0.2581 0.0401 0.3226
10 Zr 0.2673 0.6388 0.9779
11 Zr 0.3612 0.7327 0.5221
12 Zr 0.4559 0.0791 0.8042
13 Zr 0.5441 0.9209 0.1958
14 Zr 0.6388 0.2673 0.4779
15 Zr 0.7327 0.3612 0.0221
16 Zr 0.7419 0.9599 0.6774
17 Zr 0.9209 0.5441 0.6958
18 Zr 0.9599 0.7419 0.1774

Calculated values
As for the formation energy: 0.094 eV per atom. For the total energy, the calculation gives -74.83 eV/f.u. The density of states at the Fermi level is 24.35 states/eV per cell.


Record 2
VASP calculation (PBE-GGA) on an optimized crystal structure of TmHf2Zr7.

Lattice parameters (Å, degrees): 5.8717 5.9500 7.4843 73.45 71.32 83.77
Element x y z (fractional)
1 Tm 0.0000 0.0000 0.0000
2 Hf 0.1955 0.5894 0.7793
3 Hf 0.8045 0.4106 0.2207
4 Zr 0.0000 0.0000 0.5000
5 Zr 0.2270 0.5449 0.3411
6 Zr 0.4154 0.2386 0.0648
7 Zr 0.4355 0.1488 0.6269
8 Zr 0.5645 0.8512 0.3731
9 Zr 0.5846 0.7614 0.9352
10 Zr 0.7730 0.4551 0.6589

Calculated values
As for the formation energy: 0.074 eV per atom. For the total energy, the calculation gives -83.47 eV/f.u. The density of states at the Fermi level is 12.47 states/eV per cell.


Record 3
VASP calculation (PBE-GGA) on an optimized crystal structure of HfU2.

Lattice parameters (Å, degrees): 3.4765 3.4765 10.7139 90.00 90.00 90.00
Element x y z (fractional)
1 Hf 0.0000 0.0000 0.0000
2 Hf 0.5000 0.5000 0.5000
3 U 0.0000 0.0000 0.3038
4 U 0.0000 0.0000 0.6962
5 U 0.5000 0.5000 0.1962
6 U 0.5000 0.5000 0.8038

Calculated values
As for the formation energy: 0.181 eV per atom. For the total energy, the calculation gives -31.99 eV/f.u. The density of states at the Fermi level is 11.49 states/eV per cell.


Record 4
VASP calculation (PBE-GGA) on an optimized crystal structure of HfU4.

Lattice parameters (Å, degrees): 5.2803 5.2803 5.2803 90.00 90.00 90.00
Element x y z (fractional)
1 Hf 0.0000 0.0000 0.0000
2 U 0.0000 0.0000 0.5000
3 U 0.0000 0.5000 0.0000
4 U 0.5000 0.0000 0.0000
5 U 0.5000 0.5000 0.5000

Calculated values
As for the formation energy: 1.735 eV per atom. For the total energy, the calculation gives -46.43 eV/f.u. The density of states at the Fermi level is 26.27 states/eV per cell.


Record 5
VASP calculation (PBE-GGA) on an optimized crystal structure of HfU5.

Lattice parameters (Å, degrees): 4.0717 15.2366 4.0523 90.00 90.00 90.00
Element x y z (fractional)
1 Hf 0.0000 0.0000 0.0000
2 Hf 0.5000 0.5000 0.0000
3 U 0.0000 0.1673 0.5000
4 U 0.0000 0.3335 0.0000
5 U 0.0000 0.5000 0.5000
6 U 0.0000 0.6665 0.0000
7 U 0.0000 0.8327 0.5000
8 U 0.5000 0.0000 0.5000
9 U 0.5000 0.1665 0.0000
10 U 0.5000 0.3327 0.5000
11 U 0.5000 0.6673 0.5000
12 U 0.5000 0.8335 0.0000

Calculated values
As for the formation energy: 0.320 eV per atom. For the total energy, the calculation gives -64.47 eV/f.u. The density of states at the Fermi level is 31.53 states/eV per cell.


Record 6
VASP calculation (PBE-GGA) on an optimized crystal structure of HfU6.

Lattice parameters (Å, degrees): 7.0611 7.0611 7.0611 90.00 90.00 90.00
Element x y z (fractional)
1 Hf 0.0000 0.0000 0.0000
2 Hf 0.5000 0.5000 0.5000
3 U 0.0000 0.2500 0.5000
4 U 0.0000 0.5000 0.2500
5 U 0.0000 0.5000 0.7500
6 U 0.0000 0.7500 0.5000
7 U 0.2500 0.0000 0.5000
8 U 0.2500 0.5000 0.0000
9 U 0.5000 0.0000 0.2500
10 U 0.5000 0.0000 0.7500
11 U 0.5000 0.2500 0.0000
12 U 0.5000 0.7500 0.0000
13 U 0.7500 0.0000 0.5000
14 U 0.7500 0.5000 0.0000

Calculated values
As for the formation energy: 1.053 eV per atom. For the total energy, the calculation gives -70.31 eV/f.u. The density of states at the Fermi level is 43.86 states/eV per cell.


Record 7
VASP calculation (PBE-GGA) on an optimized crystal structure of Hf3U.

Lattice parameters (Å, degrees): 3.0333 5.2044 5.6722 90.00 90.00 90.00
Element x y z (fractional)
1 Hf 0.0000 0.0000 0.0000
2 Hf 0.0000 0.5000 0.2869
3 Hf 0.5000 0.5000 0.7844
4 U 0.5000 0.0000 0.5047

Calculated values
As for the formation energy: 0.195 eV per atom. The energy above the most stable polymorph in this dataset is 0.0 kJ per mole of atoms. For the total energy, the calculation gives -40.37 eV/f.u. The density of states at the Fermi level is 7.43 states/eV per cell.


Record 8
VASP calculation (PBE-GGA) on an optimized crystal structure of Hf3U.

Lattice parameters (Å, degrees): 4.4265 4.4265 9.1447 90.00 90.00 90.00
Element x y z (fractional)
1 Hf 0.0000 0.0000 0.0000
2 Hf 0.0000 0.5000 0.2500
3 Hf 0.0000 0.5000 0.7500
4 Hf 0.5000 0.0000 0.2500
5 Hf 0.5000 0.0000 0.7500
6 Hf 0.5000 0.5000 0.5000
7 U 0.0000 0.0000 0.5000
8 U 0.5000 0.5000 0.0000

Calculated values
As for the formation energy: 0.243 eV per atom. The energy above the most stable polymorph in this dataset is 4.6 kJ per mole of atoms. For the total energy, the calculation gives -40.18 eV/f.u. The density of states at the Fermi level is 19.83 states/eV per cell.


What did the sixth record say?
VASP calculation (PBE-GGA) on an optimized crystal structure of HfU6.

Lattice parameters (Å, degrees): 7.0611 7.0611 7.0611 90.00 90.00 90.00
Element x y z (fractional)
1 Hf 0.0000 0.0000 0.0000
2 Hf 0.5000 0.5000 0.5000
3 U 0.0000 0.2500 0.5000
4 U 0.0000 0.5000 0.2500
5 U 0.0000 0.5000 0.7500
6 U 0.0000 0.7500 0.5000
7 U 0.2500 0.0000 0.5000
8 U 0.2500 0.5000 0.0000
9 U 0.5000 0.0000 0.2500
10 U 0.5000 0.0000 0.7500
11 U 0.5000 0.2500 0.0000
12 U 0.5000 0.7500 0.0000
13 U 0.7500 0.0000 0.5000
14 U 0.7500 0.5000 0.0000

Calculated values
As for the formation energy: 1.053 eV per atom. For the total energy, the calculation gives -70.31 eV/f.u. The density of states at the Fermi level is 43.86 states/eV per cell.